[1]
Below is an optimized crystal structure of SnIr15, with properties calculated at the PBE level.

Structure (extended XYZ):
```
32
Lattice="-3.865 -3.754 -0.905 1.943 -1.845 -0.644 2.200 -12.484 42.425" Properties=species:S:1:pos:R:3 pbc="T T T"
Ir -0.911 -4.003 -0.120
Ir 1.022 -2.126 0.333
Ir -2.752 -4.565 1.831
Ir -0.820 -2.689 2.286
Ir 1.216 -3.217 4.043
Ir -0.719 -5.096 3.590
Ir -2.560 -5.655 5.538
Ir -0.627 -3.781 5.998
Ir 1.410 -4.307 7.755
Ir -0.529 -6.190 7.301
Ir -2.368 -6.745 9.239
Ir -0.434 -4.877 9.723
Ir -0.330 -7.268 10.991
Ir 1.593 -5.400 11.441
Ir -2.179 -7.814 12.873
Ir 2.456 -10.269 28.003
Ir -1.316 -12.682 29.436
Ir 0.607 -10.815 29.886
Ir 0.711 -13.205 31.154
Ir 2.645 -11.338 31.638
Ir 0.806 -11.892 33.575
Ir -1.133 -13.776 33.122
Ir 0.904 -14.301 34.879
Ir 2.837 -12.427 35.339
Ir 0.997 -12.986 37.286
Ir -0.938 -14.866 36.834
Ir 1.097 -15.394 38.591
Ir 3.029 -13.518 39.045
Ir -0.745 -15.956 40.544
Ir 1.188 -14.079 40.996
Sn -0.224 -6.064 13.757
Sn 0.501 -12.019 27.120
```

Computed properties:
Excess energy over the best structure of this formula in the dataset in meV/atom: 29.5



[2]
Below is an optimized crystal structure of TbCd2, with properties calculated at the PBE level.

Structure (extended XYZ):
```
3
Lattice="4.954 0.000 0.000 -2.477 4.290 0.000 0.000 0.000 3.413" Properties=species:S:1:pos:R:3 pbc="T T T"
Cd 2.477 1.430 1.707
Cd 0.000 2.860 1.707
Tb 0.000 0.000 0.000
```

Computed properties:
Calculated formation energy in meV per atom: -332.7



[3]
Below is an optimized crystal structure of CdCoSnOs, with properties calculated at the PBE level.

Structure (extended XYZ):
```
4
Lattice="1.472 -3.718 -2.059 -2.919 -2.743 -2.046 -0.072 -0.263 -4.489" Properties=species:S:1:pos:R:3 pbc="T T T"
Cd -0.759 -3.362 -4.297
Co -1.139 -5.043 -6.446
Os -0.380 -1.681 -2.149
Sn 0.000 0.000 0.000
```

Computed properties:
Excess energy over the best structure of this formula in the dataset in meV/atom: 0.0



| no. | VASP energy (eV/atom) |
| --- | --- |
| 1 | -8.46 |
| 2 | -2.47 |
| 3 | -5.40 |